First-principles (PBE-GGA) data for a geometry-optimized SbPd8Se2 structure, as listed in Alexandria via LeMat-Bulk.

The structure in POSCAR format:
```
SbPd8Se2
1.0
7.4554 -2.0699 0.0000
7.4554 2.0699 0.0000
-1.9784 0.0000 5.9390
Sb Pd Se
1 8 2
Direct
0.0000 0.0000 0.0000
0.0908 0.0908 0.4568
0.1805 0.1805 0.9350
0.3566 0.3566 0.7925
0.4607 0.4607 0.2586
0.5393 0.5393 0.7414
0.6434 0.6434 0.2075
0.8195 0.8195 0.0649
0.9092 0.9092 0.5432
0.3081 0.3081 0.3448
0.6919 0.6919 0.6552
```

Properties
Crystal system   monoclinic
Magnetization   0.00 μB/cell

First-principles (PBE-GGA) data for a geometry-optimized Sb2Pd5Se structure, as listed in Alexandria via LeMat-Bulk.

The structure in POSCAR format:
```
Sb2Pd5Se
1.0
4.5519 0.0000 0.0000
0.0000 15.6201 0.0000
-1.8091 0.0000 8.8721
Sb Pd Se
8 20 4
Direct
0.1289 0.0876 0.3944
0.1289 0.4124 0.8944
0.2259 0.7094 0.3841
0.2259 0.7906 0.8841
0.7741 0.2094 0.1159
0.7741 0.2906 0.6159
0.8711 0.5876 0.1056
0.8711 0.9124 0.6056
0.2752 0.1962 0.6301
0.2752 0.3038 0.1301
0.2775 0.1123 0.1228
0.2775 0.3877 0.6228
0.2882 0.5652 0.5566
0.2882 0.9348 0.0566
0.3681 0.6825 0.1103
0.3681 0.8175 0.6103
0.3902 0.0074 0.6471
0.3902 0.4926 0.1471
0.6098 0.5074 0.8529
0.6098 0.9926 0.3529
0.6319 0.1825 0.3897
0.6319 0.3175 0.8897
0.7118 0.0652 0.9434
0.7118 0.4348 0.4434
0.7225 0.6123 0.3772
0.7225 0.8877 0.8772
0.7248 0.6962 0.8699
0.7248 0.8038 0.3699
0.1694 0.0944 0.8335
0.1694 0.4056 0.3335
0.8306 0.5944 0.6665
0.8306 0.9056 0.1665
```

Properties
Crystal system   monoclinic
Distance to the lowest polymorph of the same formula   0.00 kJ/mol of atoms
Magnetization   0.00 μB/cell

First-principles (PBE-GGA) data for a geometry-optimized SbPd2Se structure, as listed in Alexandria via LeMat-Bulk.

The structure in POSCAR format:
```
SbPd2Se
1.0
5.9832 0.0000 0.0000
0.0000 5.9832 0.0000
0.0000 0.0000 11.1791
Sb Pd Se
4 8 4
Direct
0.0000 0.0000 0.0000
0.0000 0.5000 0.2500
0.5000 0.0000 0.7500
0.5000 0.5000 0.5000
0.2289 0.2500 0.6250
0.2500 0.7289 0.8750
0.2500 0.7711 0.3750
0.2711 0.2500 0.1250
0.7289 0.7500 0.1250
0.7500 0.2289 0.3750
0.7500 0.2711 0.8750
0.7711 0.7500 0.6250
0.0000 0.0000 0.5000
0.0000 0.5000 0.7500
0.5000 0.0000 0.2500
0.5000 0.5000 0.0000
```

Properties
Crystal system   tetragonal
Magnetization   0.00 μB/cell

First-principles (PBE-GGA) data for a geometry-optimized SbPd6Se2 structure, as listed in Alexandria via LeMat-Bulk.

The structure in POSCAR format:
```
SbPd6Se2
1.0
6.8725 0.0000 0.0000
0.0000 5.7593 0.0000
-4.5609 0.0000 8.2117
Sb Pd Se
2 12 4
Direct
0.0000 0.0000 0.0000
0.0000 0.5000 0.5000
0.0032 0.1621 0.7126
0.0032 0.3379 0.2126
0.2852 0.1626 0.5494
0.2852 0.3374 0.0494
0.4196 0.6842 0.5662
0.4196 0.8158 0.0662
0.5804 0.1842 0.9338
0.5804 0.3158 0.4338
0.7148 0.6626 0.9506
0.7148 0.8374 0.4506
0.9968 0.6621 0.7874
0.9968 0.8379 0.2874
0.3124 0.6321 0.2628
0.3124 0.8679 0.7628
0.6876 0.1321 0.2372
0.6876 0.3679 0.7372
```

Properties
Crystal system   monoclinic
Magnetization   0.00 μB/cell

First-principles (PBE-GGA) data for a geometry-optimized SbPdSe2 structure, as listed in Alexandria via LeMat-Bulk.

The structure in POSCAR format:
```
SbPdSe2
1.0
3.7109 0.0000 0.0000
-1.8554 3.2137 0.0000
0.0000 0.0000 25.3841
Sb Pd Se
3 3 6
Direct
0.0000 0.0000 0.0000
0.3333 0.6667 0.6667
0.6667 0.3333 0.3333
0.0000 0.0000 0.5000
0.3333 0.6667 0.1667
0.6667 0.3333 0.8333
0.0000 0.0000 0.1124
0.0000 0.0000 0.8876
0.3333 0.6667 0.5543
0.3333 0.6667 0.7790
0.6667 0.3333 0.2210
0.6667 0.3333 0.4457
```

Properties
Crystal system   trigonal
Magnetization   0.00 μB/cell

First-principles (PBE-GGA) data for a geometry-optimized Sb2Pd5Se structure, as listed in Alexandria via LeMat-Bulk.

The structure in POSCAR format:
```
Sb2Pd5Se
1.0
1.5925 -7.6240 0.0000
1.5925 7.6240 0.0000
0.0000 0.0000 13.5362
Sb Pd Se
4 10 2
Direct
0.1261 0.8739 0.5864
0.1261 0.8739 0.9136
0.8739 0.1261 0.0864
0.8739 0.1261 0.4136
0.0452 0.9548 0.0919
0.0452 0.9548 0.4081
0.2311 0.7689 0.0825
0.2311 0.7689 0.4175
0.2332 0.7668 0.7500
0.7668 0.2332 0.2500
0.7689 0.2311 0.5825
0.7689 0.2311 0.9175
0.9548 0.0452 0.5919
0.9548 0.0452 0.9081
0.1279 0.8721 0.2500
0.8721 0.1279 0.7500
```

Properties
Crystal system   orthorhombic
Distance to the lowest polymorph of the same formula   10.50 kJ/mol of atoms
Magnetization   0.00 μB/cell

First-principles (PBE-GGA) data for a geometry-optimized SbPd2Se structure, as listed in Alexandria via LeMat-Bulk.

The structure in POSCAR format:
```
SbPd2Se
1.0
3.9236 0.0000 0.0000
-1.9618 3.3979 0.0000
0.0000 0.0000 17.9763
Sb Pd Se
3 6 3
Direct
0.0000 0.0000 0.0000
0.3333 0.6667 0.6667
0.6667 0.3333 0.3333
0.0000 0.0000 0.2494
0.0000 0.0000 0.7506
0.3333 0.6667 0.4173
0.3333 0.6667 0.9161
0.6667 0.3333 0.0839
0.6667 0.3333 0.5827
0.0000 0.0000 0.5000
0.3333 0.6667 0.1667
0.6667 0.3333 0.8333
```

Properties
Crystal system   trigonal
Magnetization   0.00 μB/cell

First-principles (PBE-GGA) data for a geometry-optimized SbPdSe4 structure, as listed in Alexandria via LeMat-Bulk.

The structure in POSCAR format:
```
SbPdSe4
1.0
12.4568 0.0000 0.0000
0.0000 3.8165 0.0000
-0.9988 0.0000 6.4390
Sb Pd Se
2 2 8
Direct
0.0000 0.0000 0.0000
0.5000 0.5000 0.0000
0.0000 0.5000 0.5000
0.5000 0.0000 0.5000
0.1179 0.0000 0.3948
0.1278 0.5000 0.8443
0.3722 0.0000 0.1557
0.3821 0.5000 0.6052
0.6179 0.5000 0.3948
0.6278 0.0000 0.8443
0.8722 0.5000 0.1557
0.8821 0.0000 0.6052
```

Properties
Crystal system   monoclinic
Magnetization   0.00 μB/cell

First-principles (PBE-GGA) data for a geometry-optimized SbPdSe2 structure, as listed in Alexandria via LeMat-Bulk.

The structure in POSCAR format:
```
SbPdSe2
1.0
6.1486 0.0000 0.0000
0.0000 6.1486 0.0000
0.0000 0.0000 12.1231
Sb Pd Se
4 4 8
Direct
0.0000 0.0000 0.0000
0.0000 0.5000 0.2500
0.5000 0.0000 0.7500
0.5000 0.5000 0.5000
0.0000 0.0000 0.5000
0.0000 0.5000 0.7500
0.5000 0.0000 0.2500
0.5000 0.5000 0.0000
0.2080 0.2500 0.6250
0.2500 0.7080 0.8750
0.2500 0.7920 0.3750
0.2920 0.2500 0.1250
0.7080 0.7500 0.1250
0.7500 0.2080 0.3750
0.7500 0.2920 0.8750
0.7920 0.7500 0.6250
```

Properties
Crystal system   tetragonal
Magnetization   0.00 μB/cell

First-principles (PBE-GGA) data for a geometry-optimized SbPdSe structure, as listed in Alexandria via LeMat-Bulk.

The structure in POSCAR format:
```
SbPdSe
1.0
6.4836 0.0000 0.0000
0.0000 6.4836 0.0000
0.0000 0.0000 6.4836
Sb Pd Se
4 4 4
Direct
0.0000 0.0000 0.0000
0.0000 0.5000 0.5000
0.5000 0.0000 0.5000
0.5000 0.5000 0.0000
0.2500 0.2500 0.2500
0.2500 0.7500 0.7500
0.7500 0.2500 0.7500
0.7500 0.7500 0.2500
0.0000 0.0000 0.5000
0.0000 0.5000 0.0000
0.5000 0.0000 0.0000
0.5000 0.5000 0.5000
```

Properties
Crystal system   cubic
Distance to the lowest polymorph of the same formula   16.30 kJ/mol of atoms
Magnetization   0.00 μB/cell

First-principles (PBE-GGA) data for a geometry-optimized SbPd2Se4 structure, as listed in Alexandria via LeMat-Bulk.

The structure in POSCAR format:
```
SbPd2Se4
1.0
-3.5376 3.5376 6.3002
3.5376 -3.5376 6.3002
3.5376 3.5376 -6.3002
Sb Pd Se
2 4 8
Direct
0.3750 0.1250 0.2500
0.6250 0.8750 0.7500
0.0000 0.0000 0.5000
0.0000 0.5000 0.0000
0.0000 0.5000 0.5000
0.5000 0.5000 0.0000
0.0243 0.7281 0.9027
0.2281 0.8254 0.7038
0.3254 0.1216 0.5973
0.3784 0.4757 0.2038
0.6216 0.5243 0.7962
0.6746 0.8784 0.4027
0.7719 0.1746 0.2962
0.9757 0.2719 0.0973
```

Properties
Crystal system   tetragonal
Magnetization   0.00 μB/cell

First-principles (PBE-GGA) data for a geometry-optimized SbPd3Se structure, as listed in Alexandria via LeMat-Bulk.

The structure in POSCAR format:
```
SbPd3Se
1.0
4.7434 0.0000 0.0000
0.0000 4.7434 0.0000
0.0000 0.0000 4.7434
Sb Pd Se
1 3 1
Direct
0.0000 0.0000 0.0000
0.0000 0.5000 0.5000
0.5000 0.0000 0.5000
0.5000 0.5000 0.0000
0.5000 0.5000 0.5000
```

Properties
Crystal system   cubic
Distance to the lowest polymorph of the same formula   37.78 kJ/mol of atoms
Magnetization   0.00 μB/cell

The records above give, respectively, ΔE_f (raw) values of -0.2523 -0.3063 -0.1195 -0.2231 -0.1014 -0.1975 -0.2227 -0.1940 -0.0310 -0.2485 -0.2408 0.1190 eV per atom.